[1]
Below is crystalline YIrN2 at its relaxed geometry, with properties calculated at the GGA-PBE level.

Lattice parameters (Å, degrees): 5.9019 5.9019 5.9019 37.71 37.71 37.71
With the nearest neighbours (Å) after each atom.
Sites, in units of the cell vectors:
N: 0.1095 0.1095 0.1095  1 Ir 1.80
N: 0.8905 0.8905 0.8905  1 Ir 1.80
Ir: 0.0000 0.0000 0.0000  2 N 1.80
Y: 0.5000 0.5000 0.5000  6 N 2.39

* formation energy (no corrections): -0.24 eV/atom
* relative energy among the computed polymorphs: 61 meV per atom
* DOS at the Fermi energy: 2.48 states/eV/cell
* V: 69.0 Å³ per cell


[2]
Below is crystalline AcAlGe3 at its relaxed geometry, with properties calculated at the GGA-PBE level.

Lattice parameters (Å, degrees): 4.6592 4.7377 11.0839 102.34 90.00 90.00
With the nearest neighbours (Å) after each atom.
Sites, in units of the cell vectors:
Ac: 0.5000 0.1673 0.3346  10 Ge 3.33-3.54, 4 Al 3.57
Ac: 0.5000 0.8327 0.6654  10 Ge 3.33-3.54, 4 Al 3.57
Ge: 0.0000 0.9424 0.8849  1 Ge 2.49, 2 Al 2.60
Ge: 0.0000 0.7231 0.4463  1 Al 2.52, 2 Ge 2.64
Ge: 0.5000 0.4427 0.8854  1 Ge 2.48, 2 Al 2.57
Ge: 0.0000 0.2769 0.5537  1 Al 2.52, 2 Ge 2.64
Ge: 0.0000 0.0576 0.1151  1 Ge 2.49, 2 Al 2.60
Ge: 0.5000 0.5573 0.1146  1 Ge 2.48, 2 Al 2.57
Al: 0.0000 0.6069 0.2138  5 Ge 2.52-2.60
Al: 0.0000 0.3931 0.7862  5 Ge 2.52-2.60

* DOS at the Fermi energy: 2.53 states/eV/cell
* V: 239.0 Å³ per cell
* ΔE_f: -0.311 eV/atom